(1)
VASP calculation (PBE) on a relaxed TbPu3As4 crystal.

Cell lengths 8.2557, 11.6831, 4.1367 Å; angles 90.00, 90.00, 90.00 degrees
Space group Cmmm (No. 65)
Unique sites:
1 Tb 0.0000 0.0000 0.0000 (multiplicity 2)
2 Pu 0.0000 0.5000 0.0000 (multiplicity 2)
3 Pu 0.2500 0.2500 0.5000 (multiplicity 4)
4 As 0.0000 0.2499 0.0000 (multiplicity 4)
5 As 0.2481 0.5000 0.5000 (multiplicity 4)

Computed properties:
The value obtained for the total energy is -9.39 eV per atom. The value obtained for the volume is 199.50 Å³/f.u. The formation energy comes out at -1.112 eV per atom. The crystal system is orthorhombic.

(2)
VASP calculation (PBE) on a relaxed AcAlIn2S6 crystal.

Cell lengths 13.5227, 11.5155, 7.6806 Å; angles 90.00, 114.75, 90.00 degrees
Space group C2/c (No. 15)
Unique sites:
1 Ac 0.0000 0.1659 0.2500 (multiplicity 4)
2 Al 0.0000 0.1777 0.7500 (multiplicity 4)
3 In 0.1870 0.4404 0.1731 (multiplicity 8)
4 S 0.1066 0.0593 0.6586 (multiplicity 8)
5 S 0.1228 0.2469 0.0280 (multiplicity 8)
6 S 0.1444 0.3934 0.4527 (multiplicity 8)

Computed properties:
The uncorrected formation energy comes out at -1.040 eV per atom. The value obtained for the total energy is -4.85 eV per atom. The value obtained for the volume is 271.53 Å³/f.u. The crystal system is monoclinic.

(3)
VASP calculation (PBE) on a relaxed Y3TlCu crystal.

Cell lengths 5.3031, 5.3031, 5.3031 Å; angles 90.00, 90.00, 90.00 degrees
Space group Pm-3m (No. 221)
Unique sites:
1 Y 0.0000 0.0000 0.5000 (multiplicity 3)
2 Tl 0.5000 0.5000 0.5000 (multiplicity 1)
3 Cu 0.0000 0.0000 0.0000 (multiplicity 1)

Computed properties:
The value obtained for the total energy is -5.17 eV per atom. The value obtained for the volume is 149.14 Å³/f.u. The formation energy comes out at 0.005 eV per atom. The crystal system is cubic.

(4)
VASP calculation (PBE) on a relaxed SrReMo2 crystal.

Cell lengths 5.9089, 9.5499, 2.7095 Å; angles 90.00, 108.03, 90.00 degrees
Space group C2/m (No. 12)
Unique sites:
1 Sr 0.0000 0.0000 0.0000 (multiplicity 2)
2 Re 0.0000 0.5000 0.0000 (multiplicity 2)
3 Mo 0.2500 0.2500 0.5000 (multiplicity 4)

Computed properties:
The value obtained for the total energy is -7.94 eV per atom. The value obtained for the volume is 72.69 Å³/f.u. The formation energy comes out at 1.007 eV per atom. The crystal system is monoclinic.

(5)
VASP calculation (PBE) on a relaxed Tb4Sm2Th3 crystal.

Cell lengths 3.5743, 3.5743, 26.6957 Å; angles 90.00, 90.00, 120.00 degrees
Space group P3m1 (No. 156)
Unique sites:
1 Tb 0.0000 0.0000 0.0000 (multiplicity 1)
2 Tb 0.0000 0.0000 0.2168 (multiplicity 1)
3 Tb 0.3333 0.6667 0.3248 (multiplicity 1)
4 Tb 0.3333 0.6667 0.5429 (multiplicity 1)
5 Sm 0.0000 0.0000 0.6538 (multiplicity 1)
6 Sm 0.0000 0.0000 0.8734 (multiplicity 1)
7 Th 0.0000 0.0000 0.4342 (multiplicity 1)
8 Th 0.3333 0.6667 0.1060 (multiplicity 1)
9 Th 0.3333 0.6667 0.7654 (multiplicity 1)

Computed properties:
The value obtained for the total energy is -5.50 eV per atom. The value obtained for the volume is 295.37 Å³/f.u. The formation energy comes out at 0.080 eV per atom. The crystal system is trigonal.

(6)
VASP calculation (PBE) on a relaxed MgCr2Pt crystal.

Cell lengths 3.2655, 3.2655, 6.2071 Å; angles 90.00, 90.00, 90.00 degrees
Space group P4/mmm (No. 123)
Unique sites:
1 Mg 0.0000 0.0000 0.0000 (multiplicity 1)
2 Cr 0.5000 0.5000 0.2764 (multiplicity 2)
3 Pt 0.0000 0.0000 0.5000 (multiplicity 1)

Computed properties:
The value obtained for the total energy is -6.51 eV per atom. The value obtained for the volume is 66.19 Å³/f.u. The formation energy comes out at 0.213 eV per atom. The crystal system is tetragonal.

(7)
VASP calculation (PBE) on a relaxed NdCdIn crystal.

Cell lengths 4.9623, 4.9623, 3.7752 Å; angles 90.00, 90.00, 120.00 degrees
Space group P3m1 (No. 156)
Unique sites:
1 Nd 0.0000 0.0000 0.0000 (multiplicity 1)
2 Cd 0.3333 0.6667 0.4991 (multiplicity 1)
3 In 0.6667 0.3333 0.5009 (multiplicity 1)

Computed properties:
The value obtained for the total energy is -3.24 eV per atom. The value obtained for the volume is 80.51 Å³/f.u. The formation energy comes out at -0.436 eV per atom. The crystal system is trigonal.

(8)
VASP calculation (PBE) on a relaxed Mn2TcGe4 crystal.

Cell lengths 4.7622, 4.7622, 12.2828 Å; angles 90.00, 90.00, 90.00 degrees
Space group I4/mmm (No. 139)
Unique sites:
1 Mn 0.0000 0.0000 0.1016 (multiplicity 4)
2 Tc 0.0000 0.0000 0.5000 (multiplicity 2)
3 Ge 0.0000 0.0000 0.2987 (multiplicity 4)
4 Ge 0.0000 0.5000 0.0000 (multiplicity 4)

Computed properties:
The value obtained for the total energy is -6.28 eV per atom. The value obtained for the volume is 139.28 Å³/f.u. The formation energy comes out at 0.460 eV per atom. The crystal system is tetragonal.

no.,magnetic moment (μB/cell),Fermi-level density of states (states/eV per cell)
1,10.10,71.037
2,0.00,0.000
3,0.00,8.367
4,0.03,6.766
5,0.00,18.217
6,7.17,3.622
7,0.00,2.397
8,12.50,12.242